[1]
Material: InTc2
Method: DFT, PBE
State: optimized geometry

a = 5.615 Å, b = 5.615 Å, c = 6.521 Å
α = 104.92°, β = 104.92°, γ = 30.17°
Fractional coordinates of all 6 atoms:
In  0.139  0.139  0.040
In  0.861  0.861  0.960
Tc  0.189  0.189  0.616
Tc  0.474  0.474  0.670
Tc  0.526  0.526  0.330
Tc  0.811  0.811  0.384

total magnetization: 0.00 μB per atom
E_tot: -23.00 eV/f.u.

***

[2]
Material: V2Ni2P
Method: DFT, PBE
State: optimized geometry

a = 5.710 Å, b = 5.710 Å, c = 3.827 Å
α = 90.00°, β = 90.00°, γ = 90.00°
Fractional coordinates of all 10 atoms:
V  0.159  0.341  0.000
V  0.341  0.841  0.000
V  0.659  0.159  0.000
V  0.841  0.659  0.000
Ni  0.145  0.645  0.500
Ni  0.355  0.145  0.500
Ni  0.645  0.855  0.500
Ni  0.855  0.355  0.500
P  0.000  0.000  0.500
P  0.500  0.500  0.500

total magnetization: 0.31 μB per atom
E_tot: -36.18 eV/f.u.

***

[3]
Material: MnInNiAg
Method: DFT, PBE
State: optimized geometry

a = 4.504 Å, b = 4.504 Å, c = 4.504 Å
α = 60.00°, β = 60.00°, γ = 60.00°
Fractional coordinates of all 4 atoms:
Mn  0.000  0.000  0.000
In  0.500  0.500  0.500
Ni  0.250  0.250  0.250
Ag  0.750  0.750  0.750

total magnetization: 1.04 μB per atom
E_tot: -20.17 eV/f.u.

***

[4]
Material: HfAlFeN2
Method: DFT, PBE
State: optimized geometry

a = 3.806 Å, b = 3.806 Å, c = 4.479 Å
α = 90.00°, β = 90.00°, γ = 90.00°
Fractional coordinates of all 5 atoms:
Hf  0.000  0.000  0.000
Al  0.500  0.500  0.000
Fe  0.500  0.500  0.500
N  0.000  0.500  0.500
N  0.500  0.000  0.500

total magnetization: 0.52 μB per atom
formation energy without anion corrections: 784 meV per atom
E_tot: -34.89 eV/f.u.

***

[5]
Material: Tb2PrSb
Method: DFT, PBE
State: optimized geometry

a = 9.932 Å, b = 9.932 Å, c = 9.932 Å
α = 23.47°, β = 23.47°, γ = 23.47°
Fractional coordinates of all 4 atoms:
Tb  0.000  0.000  0.000
Tb  0.200  0.200  0.200
Pr  0.434  0.434  0.434
Sb  0.600  0.600  0.600

total magnetization: 0.11 μB per atom
formation energy without anion corrections: -360 meV per atom
E_tot: -19.60 eV/f.u.

***

[6]
Material: Bi3Se2S2
Method: DFT, PBE
State: optimized geometry

a = 8.057 Å, b = 8.057 Å, c = 6.530 Å
α = 98.58°, β = 98.58°, γ = 28.98°
Fractional coordinates of all 7 atoms:
Bi  0.000  0.000  0.000
Bi  0.201  0.201  0.760
Bi  0.799  0.799  0.240
Se  0.170  0.170  0.301
Se  0.830  0.830  0.699
S  0.431  0.431  0.233
S  0.569  0.569  0.767

total magnetization: 0.00 μB per atom
formation energy without anion corrections: -239 meV per atom
E_tot: -28.54 eV/f.u.

***

[7]
Material: LiNiPtPb
Method: DFT, PBE
State: optimized geometry

a = 4.445 Å, b = 4.445 Å, c = 4.445 Å
α = 60.00°, β = 60.00°, γ = 60.00°
Fractional coordinates of all 4 atoms:
Li  0.000  0.000  0.000
Ni  0.500  0.500  0.500
Pt  0.750  0.750  0.750
Pb  0.250  0.250  0.250

total magnetization: 0.00 μB per atom
E_tot: -18.21 eV/f.u.

***

[8]
Material: ScNb2Te2
Method: DFT, PBE
State: optimized geometry

a = 7.779 Å, b = 7.779 Å, c = 3.527 Å
α = 90.00°, β = 90.00°, γ = 90.00°
Fractional coordinates of all 10 atoms:
Sc  0.000  0.000  0.000
Sc  0.500  0.500  0.000
Nb  0.136  0.364  0.500
Nb  0.364  0.864  0.500
Nb  0.636  0.136  0.500
Nb  0.864  0.636  0.500
Te  0.157  0.657  0.000
Te  0.343  0.157  0.000
Te  0.657  0.843  0.000
Te  0.843  0.343  0.000

total magnetization: 0.00 μB per atom
formation energy without anion corrections: -146 meV per atom
E_tot: -33.49 eV/f.u.

***

[9]
Material: Sr2Mg3ZnGe4
Method: DFT, PBE
State: optimized geometry

a = 4.503 Å, b = 4.503 Å, c = 11.355 Å
α = 90.00°, β = 90.00°, γ = 90.00°
Fractional coordinates of all 10 atoms:
Sr  0.000  0.500  0.246
Sr  0.500  0.000  0.754
Mg  0.000  0.000  0.000
Mg  0.000  0.500  0.635
Mg  0.500  0.000  0.365
Zn  0.500  0.500  0.000
Ge  0.000  0.000  0.500
Ge  0.000  0.500  0.867
Ge  0.500  0.000  0.133
Ge  0.500  0.500  0.500

total magnetization: 0.00 μB per atom
E_tot: -31.81 eV/f.u.

***

[10]
Material: NaTe3Pt
Method: DFT, PBE
State: optimized geometry

a = 5.418 Å, b = 5.418 Å, c = 5.418 Å
α = 90.00°, β = 90.00°, γ = 90.00°
Fractional coordinates of all 5 atoms:
Na  0.000  0.000  0.000
Te  0.000  0.500  0.500
Te  0.500  0.000  0.500
Te  0.500  0.500  0.000
Pt  0.500  0.500  0.500

total magnetization: 0.00 μB per atom
formation energy without anion corrections: -31 meV per atom
E_tot: -16.94 eV/f.u.

***

[11]
Material: Li3TlF
Method: DFT, PBE
State: optimized geometry

a = 5.321 Å, b = 5.321 Å, c = 5.321 Å
α = 90.00°, β = 90.00°, γ = 90.00°
Fractional coordinates of all 5 atoms:
Li  0.000  0.000  0.500
Li  0.000  0.500  0.000
Li  0.500  0.000  0.000
Tl  0.000  0.000  0.000
F  0.500  0.500  0.500

total magnetization: 0.60 μB per atom
formation energy without anion corrections: -153 meV per atom
E_tot: -10.75 eV/f.u.

***

[12]
Material: KAgH2
Method: DFT, PBE
State: optimized geometry

a = 6.161 Å, b = 6.161 Å, c = 6.161 Å
α = 32.04°, β = 32.04°, γ = 32.04°
Fractional coordinates of all 4 atoms:
K  0.000  0.000  0.000
Ag  0.500  0.500  0.500
H  0.227  0.227  0.227
H  0.773  0.773  0.773

total magnetization: 0.00 μB per atom
E_tot: -9.88 eV/f.u.

***

Q: Look up the total magnetization of the sixth one.
A: 0.00 μB per atom